[1]
This record from Alexandria via LeMat-Bulk describes a relaxed SiHgP2 crystal. The functional is PBE-GGA.

Geometry as extended XYZ:
```
4
Lattice="-2.513 1.744 -1.258 0.131 -1.740 -2.674 -5.205 -5.228 3.148" Properties=species:S:1:pos:R:3 pbc="T T T"
Hg -5.094 -3.920 0.395
P -0.575 -0.578 0.348
P -2.027 -2.036 1.226
Si -2.492 -1.305 -1.179
```

Calculated values
E_tot = -3.8095 eV per atom
Fermi-level density of states = 0.2204 states/eV per atom
Space-group type = No. 47
E_form (uncorrected) = 1.3 eV/f.u.
Mass density = 5697 kg/m³

---

[2]
This record from Alexandria via LeMat-Bulk describes a relaxed SiHg3P crystal. The functional is PBE-GGA.

Geometry as extended XYZ:
```
5
Lattice="5.107 0.000 0.000 0.000 5.107 0.000 0.000 0.000 5.107" Properties=species:S:1:pos:R:3 pbc="T T T"
P 0.000 0.000 0.000
Si 2.553 2.553 2.553
Hg 0.000 2.553 0.000
Hg 0.000 0.000 2.553
Hg 2.553 0.000 0.000
```

Calculated values
E_tot = -1.5835 eV per atom
Fermi-level density of states = 0.9783 states/eV per atom
Energy above the most stable polymorph in this dataset = 59 meV per atom
Space-group type = No. 221
E_form (uncorrected) = 3.8 eV/f.u.
Mass density = 8239 kg/m³

---

[3]
This record from Alexandria via LeMat-Bulk describes a relaxed SiHg4P crystal. The functional is PBE-GGA.

Geometry as extended XYZ:
```
6
Lattice="1.223 -5.190 -2.399 -3.845 -4.387 0.405 -2.910 -1.785 -4.747" Properties=species:S:1:pos:R:3 pbc="T T T"
Si 0.000 0.000 0.000
Hg -3.997 -6.454 -2.325
Hg -1.463 -6.856 -3.728
Hg -3.530 -5.154 -4.902
Hg -2.075 -4.261 -2.528
P -4.149 -8.522 -5.056
```

Calculated values
E_tot = -1.2202 eV per atom
Fermi-level density of states = 0.7021 states/eV per atom
Space-group type = No. 216
E_form (uncorrected) = 4.7 eV/f.u.
Mass density = 10117 kg/m³

---

[4]
This record from Alexandria via LeMat-Bulk describes a relaxed SiHgP crystal. The functional is PBE-GGA.

Geometry as extended XYZ:
```
3
Lattice="8.407 0.008 -0.006 7.719 2.867 0.025 0.688 -0.869 2.724" Properties=species:S:1:pos:R:3 pbc="T T T"
Hg 0.717 -0.862 2.719
P 5.289 0.247 1.918
Si 11.496 1.752 0.831
```

Calculated values
E_tot = -3.2967 eV per atom
Fermi-level density of states = 0.3418 states/eV per atom
Energy above the most stable polymorph in this dataset = 356 meV per atom
Space-group type = No. 42
E_form (uncorrected) = 1.2 eV/f.u.
Mass density = 6561 kg/m³